## Y3ErTm2As2Os (PBE)

Data for Y3ErTm2As2Os after structural relaxation.

Final energy (eV per atom): -6.72
Crystal system: orthorhombic

a = 4.1518 Å, b = 7.8364 Å, c = 7.8364 Å
α = 120.08°, β = 90.00°, γ = 90.00°
Positions (direct):
Y1 0.0000 0.0000 0.0000
Y2 0.0000 0.1900 0.5955
Y3 0.0000 0.5955 0.1900
Er1 0.5000 0.3528 0.3528
Tm1 0.5000 0.5955 0.8384
Tm2 0.5000 0.8384 0.5955
As1 0.5000 0.2623 0.9280
As2 0.5000 0.9280 0.2623
Os1 0.0000 0.5973 0.5973